one | # TaZn2Co2

A relaxed TaZn2Co2 crystal (PBE-GGA, Alexandria).

a = 6.759 Å, b = 6.759 Å, c = 2.923 Å
α = 90.00°, β = 90.00°, γ = 90.00°
Element x y z (fractional)
Zn: 0.158 0.658 0.500
Zn: 0.658 0.842 0.500
Zn: 0.842 0.342 0.500
Zn: 0.342 0.158 0.500
Co: 0.362 0.862 0.000
Co: 0.862 0.638 0.000
Co: 0.638 0.138 0.000
Co: 0.138 0.362 0.000
Ta: 0.000 0.000 0.000
Ta: 0.500 0.500 0.000

The space group is P4/mbm (127).

---

two | # TaZn2Co2

A relaxed TaZn2Co2 crystal (PBE-GGA, Alexandria).

a = 6.979 Å, b = 6.979 Å, c = 2.717 Å
α = 90.00°, β = 90.00°, γ = 90.00°
Last column: magnetic moment on the atom in μB.
Element x y z (fractional)
Zn: 0.379 0.879 0.000  0.00
Zn: 0.879 0.621 0.000  0.00
Zn: 0.621 0.121 0.000  0.00
Zn: 0.121 0.379 0.000  0.00
Co: 0.179 0.679 0.500  0.05
Co: 0.679 0.821 0.500  0.06
Co: 0.821 0.321 0.500  0.05
Co: 0.321 0.179 0.500  0.06
Ta: 0.000 0.000 0.000  0.01
Ta: 0.500 0.500 0.000  0.01

The space group is P4/mbm (127).

---

Stability verdict: two, ahead by 21 meV per atom

---

one | # ZrTa2Co

A relaxed ZrTa2Co crystal (PBE-GGA, Alexandria).

a = 4.544 Å, b = 4.544 Å, c = 3.317 Å
α = 90.00°, β = 90.00°, γ = 90.00°
Last column: magnetic moment on the atom in μB.
Element x y z (fractional)
Co: 0.000 0.500 0.500  0.92
Ta: 0.000 0.000 0.000  -0.04
Ta: 0.500 0.500 0.000  -0.04
Zr: 0.500 0.000 0.500  -0.03

The space group is P4/mmm (123).

---

two | # ZrTa2Co

A relaxed ZrTa2Co crystal (PBE-GGA, Alexandria).

a = 3.207 Å, b = 3.204 Å, c = 6.738 Å
α = 90.00°, β = 90.00°, γ = 90.00°
Element x y z (fractional)
Co: 0.500 0.500 0.769
Ta: 0.000 0.000 0.980
Ta: 0.500 0.500 0.235
Zr: 0.000 0.000 0.516

The space group is P4mm (99).

---

three | # ZrTa2Co

A relaxed ZrTa2Co crystal (PBE-GGA, Alexandria).

a = 4.698 Å, b = 3.860 Å, c = 3.860 Å
α = 90.00°, β = 90.00°, γ = 90.00°
Element x y z (fractional)
Co: 0.500 0.000 0.500
Ta: 0.000 0.000 0.000
Ta: 0.000 0.500 0.500
Zr: 0.500 0.500 0.000

The space group is P4/mmm (123).

---

four | # ZrTa2Co

A relaxed ZrTa2Co crystal (PBE-GGA, Alexandria).

a = 5.291 Å, b = 5.291 Å, c = 5.291 Å
α = 136.39°, β = 136.39°, γ = 63.38°
Element x y z (fractional)
Co: 0.750 0.250 0.500
Ta: 0.000 0.000 0.000
Ta: 0.250 0.750 0.500
Zr: 0.500 0.500 0.000

The space group is I-4m2 (119).

---

Stability verdict: two, ahead by 207 meV per atom

---

one | # ZrTa2Co

A relaxed ZrTa2Co crystal (PBE-GGA, Alexandria).

a = 3.800 Å, b = 3.800 Å, c = 10.538 Å
α = 79.61°, β = 79.61°, γ = 90.00°
Element x y z (fractional)
Co: 0.500 0.500 0.000
Co: 0.250 0.750 0.500
Zr: 0.000 0.000 0.000
Zr: 0.750 0.250 0.500
Ta: 0.621 0.125 0.250
Ta: 0.129 0.625 0.250
Ta: 0.375 0.379 0.750
Ta: 0.875 0.871 0.750

The space group is I-42d (122).

---

two | # ZrTa2Co

A relaxed ZrTa2Co crystal (PBE-GGA, Alexandria).

a = 4.612 Å, b = 2.973 Å, c = 5.184 Å
α = 78.64°, β = 90.00°, γ = 90.00°
Last column: magnetic moment on the atom in μB.
Element x y z (fractional)
Co: 0.500 0.750 0.750  0.54
Ta: 0.000 0.967 0.991  -0.02
Ta: 0.000 0.533 0.509  -0.02
Zr: 0.500 0.250 0.250  -0.04

The space group is P2/m (10).

---

Stability verdict: two, ahead by 357 meV per atom

---

one | # ZrTa2Co

A relaxed ZrTa2Co crystal (PBE-GGA, Alexandria).

a = 5.384 Å, b = 5.384 Å, c = 4.831 Å
α = 63.40°, β = 63.40°, γ = 34.18°
Last column: magnetic moment on the atom in μB.
Element x y z (fractional)
Co: 0.259 0.259 0.241  0.71
Ta: 0.981 0.981 0.019  -0.06
Ta: 0.744 0.744 0.756  0.05
Zr: 0.516 0.516 0.484  -0.05

The space group is Imm2 (44).

---

two | # ZrTa2Co

A relaxed ZrTa2Co crystal (PBE-GGA, Alexandria).

a = 8.978 Å, b = 8.978 Å, c = 8.978 Å
α = 19.60°, β = 19.60°, γ = 19.60°
Element x y z (fractional)
Co: 0.750 0.750 0.750
Ta: 0.012 0.012 0.012
Ta: 0.488 0.488 0.488
Zr: 0.250 0.250 0.250

The space group is R-3m (166).

---

three | # ZrTa2Co

A relaxed ZrTa2Co crystal (PBE-GGA, Alexandria).

a = 3.079 Å, b = 3.079 Å, c = 7.343 Å
α = 90.00°, β = 90.00°, γ = 90.01°
Element x y z (fractional)
Co: 0.500 0.500 0.750
Ta: 0.000 0.000 0.956
Ta: 0.000 0.000 0.544
Zr: 0.500 0.500 0.250

The space group is P4/mmm (123).

---

Stability verdict: three, ahead by 70 meV per atom

---

one | # ZrTa2Co2

A relaxed ZrTa2Co2 crystal (PBE-GGA, Alexandria).

a = 7.484 Å, b = 7.484 Å, c = 2.841 Å
α = 90.00°, β = 90.00°, γ = 90.00°
Element x y z (fractional)
Co: 0.140 0.640 0.500
Co: 0.640 0.860 0.500
Co: 0.860 0.360 0.500
Co: 0.360 0.140 0.500
Zr: 0.000 0.000 0.000
Zr: 0.500 0.500 0.000
Ta: 0.347 0.847 0.000
Ta: 0.847 0.653 0.000
Ta: 0.653 0.153 0.000
Ta: 0.153 0.347 0.000

The space group is P4/mbm (127).

---

two | # ZrTa2Co2

A relaxed ZrTa2Co2 crystal (PBE-GGA, Alexandria).

a = 7.211 Å, b = 7.211 Å, c = 3.059 Å
α = 90.00°, β = 90.00°, γ = 90.00°
Element x y z (fractional)
Co: 0.374 0.874 0.000
Co: 0.874 0.626 0.000
Co: 0.626 0.126 0.000
Co: 0.126 0.374 0.000
Zr: 0.000 0.000 0.000
Zr: 0.500 0.500 0.000
Ta: 0.164 0.664 0.500
Ta: 0.664 0.836 0.500
Ta: 0.836 0.336 0.500
Ta: 0.336 0.164 0.500

The space group is P4/mbm (127).

---

three | # ZrTa2Co2

A relaxed ZrTa2Co2 crystal (PBE-GGA, Alexandria).

a = 4.202 Å, b = 4.202 Å, c = 5.690 Å
α = 68.33°, β = 68.33°, γ = 90.00°
Element x y z (fractional)
Co: 0.382 0.382 0.235
Co: 0.618 0.618 0.765
Zr: 0.000 0.000 0.000
Ta: 0.750 0.250 0.500
Ta: 0.250 0.750 0.500

The space group is I4/mmm (139).

---

four | # ZrTa2Co2

A relaxed ZrTa2Co2 crystal (PBE-GGA, Alexandria).

a = 3.850 Å, b = 3.850 Å, c = 6.432 Å
α = 72.58°, β = 72.58°, γ = 90.00°
Element x y z (fractional)
Co: 0.750 0.250 0.500
Co: 0.250 0.750 0.500
Zr: 0.000 0.000 0.000
Ta: 0.379 0.379 0.242
Ta: 0.621 0.621 0.758

The space group is I4/mmm (139).

---

Stability verdict: two, ahead by 37 meV per atom

---

one | # TbCoTc

A relaxed TbCoTc crystal (PBE-GGA, Alexandria).

a = 4.377 Å, b = 6.461 Å, c = 6.461 Å
α = 120.00°, β = 90.00°, γ = 90.00°
Last column: magnetic moment on the atom in μB.
Element x y z (fractional)
Co: 0.500 0.667 0.333  0.41
Co: 0.500 0.333 0.667  0.41
Co: 0.000 0.000 0.000  0.71
Tb: 0.000 0.588 0.588  0.00
Tb: 0.000 0.000 0.412  0.00
Tb: 0.000 0.412 0.000  0.00
Tc: 0.500 0.000 0.762  0.21
Tc: 0.500 0.762 0.000  0.21
Tc: 0.500 0.238 0.238  0.21

The space group is P-62m (189).

---

two | # TbCoTc

A relaxed TbCoTc crystal (PBE-GGA, Alexandria).

a = 4.968 Å, b = 5.301 Å, c = 5.301 Å
α = 61.80°, β = 62.05°, γ = 62.05°
Last column: magnetic moment on the atom in μB.
Element x y z (fractional)
Tb: 0.880 0.370 0.370  -0.13
Tb: 0.120 0.630 0.630  -0.13
Co: 0.500 0.500 0.000  0.91
Co: 0.500 0.000 0.500  0.91
Tc: 0.000 0.000 0.000  0.30
Tc: 0.500 0.000 0.000  0.30

The space group is Imma (74).

---

Stability verdict: two, ahead by 179 meV per atom

---

one | # Tb3CoTe

A relaxed Tb3CoTe crystal (PBE-GGA, Alexandria).

a = 3.947 Å, b = 8.496 Å, c = 8.139 Å
α = 106.18°, β = 90.00°, γ = 90.00°
Element x y z (fractional)
Tb: 0.250 0.593 0.309
Tb: 0.750 0.407 0.691
Tb: 0.250 0.070 0.697
Tb: 0.750 0.250 0.066
Tb: 0.750 0.930 0.303
Tb: 0.250 0.750 0.934
Co: 0.750 0.579 0.058
Co: 0.250 0.421 0.942
Te: 0.750 0.762 0.616
Te: 0.250 0.238 0.384

The space group is P2_1/m (11).

---

two | # Tb3CoTe

A relaxed Tb3CoTe crystal (PBE-GGA, Alexandria).

a = 4.050 Å, b = 8.413 Å, c = 8.280 Å
α = 90.00°, β = 104.16°, γ = 90.00°
Element x y z (fractional)
Tb: 0.894 0.392 0.789
Tb: 0.106 0.892 0.211
Tb: 0.570 0.225 0.140
Tb: 0.430 0.725 0.860
Tb: 0.728 0.645 0.457
Tb: 0.272 0.145 0.543
Co: 0.314 0.505 0.628
Co: 0.686 0.005 0.372
Te: 0.923 0.027 0.847
Te: 0.077 0.527 0.153

The space group is Cmc2_1 (36).

---

Stability verdict: one, ahead by 155 meV per atom

---

one | # Tb4CoTe

A relaxed Tb4CoTe crystal (PBE-GGA, Alexandria).

a = 5.261 Å, b = 10.635 Å, c = 9.555 Å
α = 122.26°, β = 90.00°, γ = 104.32°
Element x y z (fractional)
Tb: 0.028 0.055 0.354
Tb: 0.194 0.389 0.993
Tb: 0.757 0.513 0.326
Tb: 0.606 0.211 0.681
Tb: 0.394 0.789 0.319
Tb: 0.243 0.487 0.674
Tb: 0.806 0.611 0.007
Tb: 0.972 0.945 0.646
Co: 0.113 0.225 0.672
Co: 0.887 0.775 0.328
Te: 0.162 0.324 0.280
Te: 0.838 0.676 0.720

The space group is C2/m (12).

---

two | # Tb4CoTe

A relaxed Tb4CoTe crystal (PBE-GGA, Alexandria).

a = 3.874 Å, b = 8.294 Å, c = 19.491 Å
α = 90.00°, β = 90.00°, γ = 90.00°
Element x y z (fractional)
Tb: 0.750 0.866 0.646
Tb: 0.250 0.134 0.354
Tb: 0.250 0.634 0.146
Tb: 0.750 0.366 0.854
Tb: 0.750 0.854 0.454
Tb: 0.250 0.146 0.546
Tb: 0.250 0.646 0.954
Tb: 0.750 0.354 0.046
Tb: 0.750 0.024 0.932
Tb: 0.250 0.976 0.068
Tb: 0.250 0.476 0.432
Tb: 0.750 0.524 0.568
Tb: 0.750 0.954 0.217
Tb: 0.250 0.046 0.783
Tb: 0.250 0.546 0.717
Tb: 0.750 0.454 0.283
Co: 0.750 0.228 0.448
Co: 0.250 0.772 0.552
Co: 0.250 0.272 0.948
Co: 0.750 0.728 0.052
Te: 0.750 0.749 0.814
Te: 0.250 0.251 0.186
Te: 0.250 0.751 0.314
Te: 0.750 0.249 0.686

The space group is Pnma (62).

---

Stability verdict: two, ahead by 229 meV per atom

---

one | # Tb5CoTe2

A relaxed Tb5CoTe2 crystal (PBE-GGA, Alexandria).

a = 5.871 Å, b = 6.546 Å, c = 14.505 Å
α = 90.00°, β = 90.00°, γ = 116.64°
Element x y z (fractional)
Tb: 0.935 0.871 0.872
Tb: 0.935 0.871 0.628
Tb: 0.367 0.734 0.378
Tb: 0.367 0.734 0.122
Tb: 0.695 0.390 0.250
Tb: 0.305 0.610 0.750
Tb: 0.633 0.266 0.622
Tb: 0.633 0.266 0.878
Tb: 0.065 0.129 0.128
Tb: 0.065 0.129 0.372
Co: 0.781 0.562 0.750
Co: 0.219 0.438 0.250
Te: 0.812 0.624 0.442
Te: 0.812 0.624 0.058
Te: 0.188 0.376 0.558
Te: 0.188 0.376 0.942

The space group is Cmcm (63).

---

two | # Tb5CoTe2

A relaxed Tb5CoTe2 crystal (PBE-GGA, Alexandria).

a = 4.061 Å, b = 8.221 Å, c = 13.053 Å
α = 90.00°, β = 90.00°, γ = 90.00°
Element x y z (fractional)
Tb: 0.000 0.000 0.500
Tb: 0.000 0.500 0.000
Tb: 0.000 0.840 0.181
Tb: 0.000 0.160 0.819
Tb: 0.000 0.660 0.681
Tb: 0.000 0.340 0.319
Tb: 0.500 0.667 0.421
Tb: 0.500 0.333 0.579
Tb: 0.500 0.833 0.921
Tb: 0.500 0.167 0.079
Co: 0.000 0.500 0.500
Co: 0.000 0.000 0.000
Te: 0.500 0.541 0.181
Te: 0.500 0.459 0.819
Te: 0.500 0.959 0.681
Te: 0.500 0.041 0.319

The space group is Pbam (55).

---

Stability verdict: two, ahead by 244 meV per atom